# 1
A plane-wave DFT calculation with PBE-GGA was carried out for a relaxed structure of Sc4AsPb.

The structure belongs to space group F-43m (No. 216); the cell edges are 8.235, 8.235 and 8.235 Å and the angles 90.00°, 90.00° and 90.00°. The distinct sites, in fractional coordinates, are Sc at (0.125, 0.125, 0.125), As at (0.250, 0.250, 0.750) and Pb at (0.000, 0.000, 0.500).

The calculation puts the total energy at -5.57 eV per atom.

---

# 2
A plane-wave DFT calculation with PBE-GGA was carried out for a relaxed structure of ScAs2Pb.

The structure belongs to space group R3m (No. 160, hexagonal axes); the cell edges are 3.9140, 3.9140 and 21.9503 Å and the angles 90.00°, 90.00° and 120.00°. The distinct sites, in fractional coordinates, are Sc at (0.0000, 0.0000, 0.0000), As at (0.0000, 0.0000, 0.2673), As at (0.0000, 0.0000, 0.5176) and Pb at (0.0000, 0.0000, 0.7695).

The calculation puts the total energy at -4.97 eV per atom.

---

# 3
A plane-wave DFT calculation with PBE-GGA was carried out for a relaxed structure of ScAsPb.

The structure belongs to space group F-43m (No. 216); the cell edges are 6.838, 6.838 and 6.838 Å and the angles 90.00°, 90.00° and 90.00°. The distinct sites, in fractional coordinates, are Sc at (0.000, 0.000, 0.000), As at (0.250, 0.250, 0.750) and Pb at (0.000, 0.000, 0.500).

The calculation puts the total energy at -5.12 eV per atom. The calculation puts the offset from the most stable computed form at 373.3 meV/atom.

---

# 4
A plane-wave DFT calculation with PBE-GGA was carried out for a relaxed structure of ScAs2Pb.

The structure belongs to space group C2/m (No. 12); the cell edges are 6.109, 7.656 and 3.815 Å and the angles 90.00°, 90.34° and 90.00°. The distinct sites, in fractional coordinates, are Sc at (0.000, 0.000, 0.000), As at (0.250, 0.250, 0.500) and Pb at (0.000, 0.500, 0.000).

The calculation puts the total energy at -5.16 eV per atom.

---

# 5
A plane-wave DFT calculation with PBE-GGA was carried out for a relaxed structure of Sc2As2Pb.

The structure belongs to space group P4/mbm (No. 127); the cell edges are 7.709, 7.709 and 3.643 Å and the angles 90.00°, 90.00° and 90.00°. The distinct sites, in fractional coordinates, are Sc at (0.147, 0.353, 0.000), As at (0.159, 0.659, 0.500) and Pb at (0.000, 0.000, 0.000).

The calculation puts the total energy at -5.79 eV per atom. The calculation puts the offset from the most stable computed form at 76.8 meV/atom.

---

# 6
A plane-wave DFT calculation with PBE-GGA was carried out for a relaxed structure of Sc6As2PbSe3.

The structure belongs to space group C2/m (No. 12); the cell edges are 17.191, 3.905 and 7.957 Å and the angles 90.00°, 103.35° and 90.00°. The distinct sites, in fractional coordinates, are Sc at (0.004, 0.000, 0.267), Sc at (0.172, 0.500, 0.576), Sc at (0.173, 0.500, 0.099), As at (0.167, 0.000, 0.335), Pb at (0.000, 0.500, 0.000), Se at (0.000, 0.500, 0.500) and Se at (0.165, 0.000, 0.832).

As for the formation energy without anion corrections: -1.33 eV/atom. The calculation puts the total energy at -6.45 eV per atom.

---

# 7
A plane-wave DFT calculation with PBE-GGA was carried out for a relaxed structure of ScAs2PbSe.

The structure belongs to space group P4/mmm (No. 123); the cell edges are 5.279, 5.279 and 5.397 Å and the angles 90.00°, 90.00° and 90.00°. The distinct sites, in fractional coordinates, are Sc at (0.000, 0.000, 0.000), As at (0.000, 0.500, 0.500), Pb at (0.500, 0.500, 0.500) and Se at (0.500, 0.500, 0.000).

As for the formation energy without anion corrections: 0.63 eV/atom. The calculation puts the total energy at -3.93 eV per atom. The calculation puts the offset from the most stable computed form at 794.9 meV/atom.

---

# 8
A plane-wave DFT calculation with PBE-GGA was carried out for a relaxed structure of ScAs2PbSe.

The structure belongs to space group P4/mmm (No. 123); the cell edges are 5.137, 5.137 and 5.188 Å and the angles 90.00°, 90.00° and 90.00°. The distinct sites, in fractional coordinates, are Sc at (0.000, 0.000, 0.000), As at (0.000, 0.500, 0.000), Pb at (0.500, 0.500, 0.500) and Se at (0.000, 0.000, 0.500).

As for the formation energy without anion corrections: -0.16 eV/atom. The calculation puts the total energy at -4.73 eV per atom. The calculation puts the offset from the most stable computed form at 0.0 meV/atom.

---

# 9
A plane-wave DFT calculation with PBE-GGA was carried out for a relaxed structure of ScSiAsPb2.

The structure belongs to space group P4/mmm (No. 123); the cell edges are 5.589, 5.589 and 5.048 Å and the angles 90.00°, 90.00° and 90.00°. The distinct sites, in fractional coordinates, are Sc at (0.000, 0.000, 0.000), Si at (0.000, 0.000, 0.500), As at (0.500, 0.500, 0.500) and Pb at (0.000, 0.500, 0.000).

As for the formation energy without anion corrections: 0.76 eV/atom. The calculation puts the total energy at -4.01 eV per atom.

---

# 10
A plane-wave DFT calculation with PBE-GGA was carried out for a relaxed structure of ScAsPb2W.

The structure belongs to space group P4/mmm (No. 123); the cell edges are 5.375, 5.375 and 5.021 Å and the angles 90.00°, 90.00° and 90.00°. The distinct sites, in fractional coordinates, are Sc at (0.000, 0.000, 0.000), As at (0.500, 0.500, 0.000), Pb at (0.000, 0.500, 0.500) and W at (0.000, 0.000, 0.500).

The calculation puts the total energy at -5.51 eV per atom.

---

# 11
A plane-wave DFT calculation with PBE-GGA was carried out for a relaxed structure of ZrSc2AsPb.

The structure belongs to space group P4/mmm (No. 123); the cell edges are 4.995, 4.995 and 5.092 Å and the angles 90.00°, 90.00° and 90.00°. The distinct sites, in fractional coordinates, are Zr at (0.000, 0.000, 0.000), Sc at (0.000, 0.500, 0.500), As at (0.000, 0.000, 0.500) and Pb at (0.500, 0.500, 0.000).

The calculation puts the total energy at -6.29 eV per atom.

---

# 12
A plane-wave DFT calculation with PBE-GGA was carried out for a relaxed structure of As2PbSe.

The structure belongs to space group P4/mmm (No. 123); the cell edges are 5.125, 5.125 and 3.468 Å and the angles 90.00°, 90.00° and 90.00°. The distinct sites, in fractional coordinates, are As at (0.000, 0.500, 0.000), Pb at (0.000, 0.000, 0.500) and Se at (0.500, 0.500, 0.500).

As for the formation energy without anion corrections: 0.35 eV/atom. The calculation puts the total energy at -3.77 eV per atom. The calculation puts the offset from the most stable computed form at 513.0 meV/atom.

---

# 13
A plane-wave DFT calculation with PBE-GGA was carried out for a relaxed structure of AsPb2Se4.

The structure belongs to space group P2_1/m (No. 11); the cell edges are 7.190, 6.945 and 8.433 Å and the angles 90.00°, 107.03° and 90.00°. The distinct sites, in fractional coordinates, are As at (0.219, 0.250, 0.300), Pb at (0.236, 0.750, 0.063), Pb at (0.266, 0.750, 0.563), Se at (0.005, 0.023, 0.760), Se at (0.416, 0.250, 0.110) and Se at (0.418, 0.250, 0.598).

As for the formation energy without anion corrections: -0.25 eV/atom. The calculation puts the total energy at -3.96 eV per atom.

---

# 14
A plane-wave DFT calculation with PBE-GGA was carried out for a relaxed structure of As2PbSe.

The structure belongs to space group I-42d (No. 122); the cell edges are 5.837, 5.837 and 14.761 Å and the angles 90.00°, 90.00° and 90.00°. The distinct sites, in fractional coordinates, are As at (0.201, 0.250, 0.125), Pb at (0.000, 0.000, 0.500) and Se at (0.000, 0.000, 0.000).

As for the formation energy without anion corrections: 0.24 eV/atom. The calculation puts the total energy at -3.88 eV per atom. The calculation puts the offset from the most stable computed form at 401.5 meV/atom.

---

# 15
A plane-wave DFT calculation with PBE-GGA was carried out for a relaxed structure of As2PbSe.

The structure belongs to space group Pmmm (No. 47); the cell edges are 3.520, 5.032 and 5.176 Å and the angles 90.00°, 90.00° and 90.00°. The distinct sites, in fractional coordinates, are As at (0.000, 0.000, 0.000), As at (0.500, 0.500, 0.000), Pb at (0.000, 0.500, 0.500) and Se at (0.500, 0.000, 0.500).

As for the formation energy without anion corrections: 0.28 eV/atom. The calculation puts the total energy at -3.84 eV per atom. The calculation puts the offset from the most stable computed form at 442.2 meV/atom.

---

# 16
A plane-wave DFT calculation with PBE-GGA was carried out for a relaxed structure of As2PbSe.

The structure belongs to space group R3m (No. 160, hexagonal axes); the cell edges are 4.0181, 4.0181 and 22.5348 Å and the angles 90.00°, 90.00° and 120.00°. The distinct sites, in fractional coordinates, are As at (0.0000, 0.0000, 0.0000), As at (0.0000, 0.0000, 0.2790), Pb at (0.0000, 0.0000, 0.7759) and Se at (0.0000, 0.0000, 0.5155).

As for the formation energy without anion corrections: -0.16 eV/atom. The calculation puts the total energy at -4.29 eV per atom. The calculation puts the offset from the most stable computed form at 0.0 meV/atom.

---

# 17
A plane-wave DFT calculation with PBE-GGA was carried out for a relaxed structure of AsPbSe3.

The structure belongs to space group Pnma (No. 62); the cell edges are 8.284, 4.182 and 15.019 Å and the angles 90.00°, 90.00° and 90.00°. The distinct sites, in fractional coordinates, are As at (0.194, 0.250, 0.073), Pb at (0.080, 0.750, 0.310), Se at (0.013, 0.750, 0.109), Se at (0.107, 0.250, 0.504) and Se at (0.174, 0.750, 0.721).

As for the formation energy without anion corrections: -0.21 eV/atom. The calculation puts the total energy at -3.98 eV per atom.

---

# 18
A plane-wave DFT calculation with PBE-GGA was carried out for a relaxed structure of As3PbSe.

The structure belongs to space group Pm-3m (No. 221); the cell edges are 5.376, 5.376 and 5.376 Å and the angles 90.00°, 90.00° and 90.00°. The distinct sites, in fractional coordinates, are As at (0.000, 0.000, 0.500), Pb at (0.000, 0.000, 0.000) and Se at (0.500, 0.500, 0.500).

As for the formation energy without anion corrections: 1.27 eV/atom. The calculation puts the total energy at -2.95 eV per atom. The calculation puts the offset from the most stable computed form at 680.4 meV/atom.

---

# 19
A plane-wave DFT calculation with PBE-GGA was carried out for a relaxed structure of As2Pb2Se.

The structure belongs to space group I4/mmm (No. 139); the cell edges are 3.933, 3.933 and 17.004 Å and the angles 90.00°, 90.00° and 90.00°. The distinct sites, in fractional coordinates, are As at (0.000, 0.500, 0.250), Pb at (0.000, 0.000, 0.102) and Se at (0.000, 0.000, 0.500).

As for the formation energy without anion corrections: -0.11 eV/atom. The calculation puts the total energy at -4.15 eV per atom. The calculation puts the offset from the most stable computed form at 0.0 meV/atom.

---

# 20
A plane-wave DFT calculation with PBE-GGA was carried out for a relaxed structure of As2PbSe.

The structure belongs to space group I-4m2 (No. 119); the cell edges are 4.217, 4.217 and 10.515 Å and the angles 90.00°, 90.00° and 90.00°. The distinct sites, in fractional coordinates, are As at (0.000, 0.000, 0.000), As at (0.000, 0.500, 0.250), Pb at (0.000, 0.500, 0.750) and Se at (0.000, 0.000, 0.500).

As for the formation energy without anion corrections: 0.36 eV/atom. The calculation puts the total energy at -3.77 eV per atom. The calculation puts the offset from the most stable computed form at 520.1 meV/atom.